# Nd2CoIrO6 PBE+U relaxed
# E_tot = -72.3 eV per cell
data_Nd2CoIrO6
_cell_length_a 5.554
_cell_length_b 5.554
_cell_length_c 5.554
_cell_angle_alpha 120.53
_cell_angle_beta 120.53
_cell_angle_gamma 89.09
_symmetry_space_group_name_H-M 'P 1'
_symmetry_Int_Tables_number 1
loop_
_symmetry_equiv_pos_as_xyz
'x,y,z'
loop_
_atom_site_label
_atom_site_fract_x
_atom_site_fract_y
_atom_site_fract_z
Co1 0.000 0.000 0.000
Ir1 0.500 0.500 0.000
Nd1 0.750 0.250 0.500
Nd2 0.250 0.750 0.500
O1 0.752 0.248 0.000
O2 0.252 0.252 0.000
O3 0.748 0.748 0.000
O4 0.248 0.752 0.000
O5 0.248 0.248 0.496
O6 0.752 0.752 0.504